[1]
Li3Mg2Au2 | PBE | optimized geometry

Geometry as POSCAR:
```
Li3Mg2Au2
1.0
4.631 0.000 0.000
-2.315 4.059 -0.258
0.000 -2.241 6.916
Li Mg Au
3 2 2
direct
0.500 0.000 0.000
0.637 0.274 0.415
0.363 0.726 0.585
0.904 0.808 0.222
0.096 0.192 0.778
0.773 0.546 0.802
0.227 0.454 0.198
```

Computed properties:
Total magnetization in μB per cell: 0.00
Calculated total energy in eV/atom: -2.663
Calculated formation energy in eV/atom: -0.451
N(E_F) in states/eV/atom: 0.28
Energy above the lowest structure with this stoichiometry in meV per atom: 2

***

[2]
Li4Mg2Au | PBE | optimized geometry

Geometry as POSCAR:
```
Li4Mg2Au
1.0
7.027 0.029 -0.050
-2.314 6.635 0.050
-2.399 -3.302 5.721
Li Mg Au
8 4 2
direct
0.085 0.881 0.344
0.656 0.741 0.537
0.954 0.619 0.713
0.287 0.241 0.906
0.665 0.759 0.046
0.796 0.259 0.915
0.463 0.119 0.204
0.094 0.381 0.335
0.875 0.153 0.528
0.472 0.347 0.625
0.375 0.847 0.722
0.278 0.653 0.125
0.000 0.000 0.000
0.750 0.500 0.250
```

Computed properties:
Total magnetization in μB per cell: 0.00
Calculated total energy in eV/atom: -2.135
Calculated formation energy in eV/atom: -0.118
N(E_F) in states/eV/atom: 0.34

***

- The highest calculated formation energy belongs to which entry?
  Li4Mg2Au

***

- Which of these has the highest calculated formation energy?
  Li4Mg2Au

***

- Which formula does entry 1 have?
  Li3Mg2Au2